The following is a DFT calculation (PBE) of a relaxed Li2ScNb crystal. Values from VASP.

Geometry as Quantum ESPRESSO input:
```
&SYSTEM
  ibrav = 0, nat = 4, ntyp = 3
/
ATOMIC_SPECIES
Sc 44.96 Sc.upf
Li 6.94 Li.upf
Nb 92.91 Nb.upf
CELL_PARAMETERS angstrom
4.640 -0.061 0.044
2.264 -4.029 0.415
2.332 -1.734 -3.617
ATOMIC_POSITIONS angstrom
Sc 0.000 0.000 0.000
Li 6.926 -4.368 -2.369
Li 2.309 -1.456 -0.790
Nb 4.618 -2.912 -1.579
```

## Properties
Its mass density is 3.6 g/cm³. For the total magnetization, the calculation gives 0.76 μB/f.u. Its energy above the most stable polymorph in this dataset is 0 meV/atom. The calculation puts the density of states at the Fermi level at 3.83 states/eV per cell. As for the calculated formation energy: 47 kJ/mol of atoms. As for the space group: No. 225.